No. 1
Here is a geometry-optimized Pa2Cu2Pd7 structure from the Alexandria database. Energies are from PBE.

The formation energy is -9.63 kcal/mol of atoms. The crystal system is monoclinic. The value obtained for the calculated volume is 17.39 Å³/atom. As for the total energy: -136.25 eV per cell.

abc: 11.8754 8.6408 3.9512
angles: 90.00 109.37 90.00
Space group C2/m (No. 12)
Unique sites:
Pa: 0.0000 0.2237 0.0000 x4
Cu: 0.1539 0.5000 0.1553 x4
Pd: 0.0000 0.5000 0.5000 x2
Pd: 0.1197 0.0000 0.6624 x4
Pd: 0.1910 0.3181 0.6917 x8

No. 2
Here is a geometry-optimized Dy3ErAs4 structure from the Alexandria database. Energies are from PBE.

Its offset from the most stable computed form is 0.3 kJ per mole of atoms. The formation energy is -35.34 kcal/mol of atoms. The crystal system is orthorhombic. The value obtained for the calculated volume is 24.54 Å³/atom. As for the total energy: -98.46 eV per cell.

abc: 8.2177 11.6209 4.1112
angles: 90.00 90.00 90.00
Space group Cmmm (No. 65)
Unique sites:
Dy: 0.0000 0.0000 0.0000 x2
Dy: 0.2500 0.2500 0.5000 x4
Er: 0.0000 0.5000 0.0000 x2
As: 0.0000 0.2508 0.0000 x4
As: 0.2485 0.5000 0.5000 x4

No. 3
Here is a geometry-optimized GaHg3 structure from the Alexandria database. Energies are from PBE.

The formation energy is 1.19 kcal/mol of atoms. The crystal system is orthorhombic. The value obtained for the calculated volume is 24.42 Å³/atom. As for the total energy: -7.45 eV per cell.

abc: 4.5227 4.5616 9.4679
angles: 90.00 90.00 90.00
Space group Cmmm (No. 65)
Unique sites:
Ga: 0.0000 0.0000 0.0000 x2
Hg: 0.0000 0.0000 0.5000 x2
Hg: 0.0000 0.5000 0.2338 x4

No. 4
Here is a geometry-optimized Ca2AlHg structure from the Alexandria database. Energies are from PBE.

Its offset from the most stable computed form is 6.2 kJ per mole of atoms. The formation energy is -7.01 kcal/mol of atoms. The crystal system is monoclinic. The value obtained for the calculated volume is 26.89 Å³/atom. As for the total energy: -18.53 eV per cell.

abc: 12.0088 3.7140 5.2959
angles: 90.00 114.40 90.00
Space group Cm (No. 8)
Unique sites:
Ca: 0.0000 0.0000 0.0000 x2
Ca: 0.2040 0.0000 0.6921 x2
Al: 0.4438 0.0000 0.4488 x2
Hg: 0.2522 0.5000 0.2345 x2

No. 5
Here is a geometry-optimized Ca3Mo5 structure from the Alexandria database. Energies are from PBE.

The formation energy is 11.02 kcal/mol of atoms. The crystal system is triclinic. The value obtained for the calculated volume is 24.19 Å³/atom. As for the total energy: -112.67 eV per cell.

abc: 4.7950 8.0906 10.8676
angles: 109.83 101.41 91.06
Space group P1 (No. 1)
Unique sites:
Ca: 0.0000 0.0000 0.0000 x1
Ca: 0.0304 0.5314 0.0488 x1
Ca: 0.3907 0.6197 0.7849 x1
Ca: 0.4310 0.1932 0.8378 x1
Ca: 0.6502 0.6504 0.3003 x1
Ca: 0.8321 0.8589 0.6490 x1
Mo: 0.1233 0.9369 0.2681 x1
Mo: 0.2284 0.5712 0.4658 x1
Mo: 0.2551 0.2647 0.5329 x1
Mo: 0.2658 0.9414 0.5065 x1
Mo: 0.3983 0.2622 0.2745 x1
Mo: 0.5705 0.9290 0.1610 x1
Mo: 0.7021 0.0624 0.4300 x1
Mo: 0.7505 0.4583 0.5216 x1
Mo: 0.8608 0.2629 0.6649 x1
Mo: 0.9054 0.2651 0.2809 x1

No. 6
Here is a geometry-optimized Ca3Tl5Cd structure from the Alexandria database. Energies are from PBE.

Its offset from the most stable computed form is 11.2 kJ per mole of atoms. The formation energy is -3.57 kcal/mol of atoms. The crystal system is tetragonal. The value obtained for the calculated volume is 31.29 Å³/atom. As for the total energy: -80.58 eV per cell.

abc: 9.4658 9.4658 12.5727
angles: 90.00 90.00 90.00
Space group I4/mcm (No. 140)
Unique sites:
Ca: 0.0000 0.0000 0.2500 x4
Ca: 0.1251 0.3749 0.0000 x8
Tl: 0.0000 0.0000 0.0000 x4
Tl: 0.1882 0.3118 0.3579 x16
Cd: 0.0000 0.5000 0.2500 x4

No. 7
Here is a geometry-optimized HfBiC structure from the Alexandria database. Energies are from PBE.

The formation energy is -1.61 kcal/mol of atoms. The crystal system is trigonal. The value obtained for the calculated volume is 20.74 Å³/atom. As for the total energy: -139.61 eV per cell.

abc: 3.7856 3.7856 30.0785
angles: 90.00 90.00 120.00
Space group R-3m (No. 166, hexagonal axes)
Unique sites:
Hf: 0.0000 0.0000 0.1281 x6
Bi: 0.0000 0.0000 0.3731 x6
C: 0.0000 0.0000 0.2012 x6

No. 8
Here is a geometry-optimized Sm2AlCl structure from the Alexandria database. Energies are from PBE.

Its offset from the most stable computed form is 0.0 kJ per mole of atoms. The crystal system is trigonal. The uncorrected formation energy comes out at -0.822 eV per atom. The value obtained for the calculated volume is 25.72 Å³/atom. As for the total energy: -54.95 eV per cell.

abc: 3.7028 3.7028 25.9928
angles: 90.00 90.00 120.00
Space group R3m (No. 160, hexagonal axes)
Unique sites:
Sm: 0.0000 0.0000 0.0000 x3
Sm: 0.0000 0.0000 0.1681 x3
Al: 0.0000 0.0000 0.5840 x3
Cl: 0.0000 0.0000 0.4163 x3

No. 9
Here is a geometry-optimized RbCo2Br structure from the Alexandria database. Energies are from PBE.

Its offset from the most stable computed form is 0.0 kJ per mole of atoms. The crystal system is tetragonal. The uncorrected formation energy comes out at 0.590 eV per atom. The value obtained for the calculated volume is 25.92 Å³/atom. As for the total energy: -57.97 eV per cell.

abc: 4.8003 4.8003 17.9955
angles: 90.00 90.00 90.00
Space group I4_1/amd (No. 141, origin choice 2)
Unique sites:
Rb: 0.0000 0.2500 0.3750 x4
Co: 0.0000 0.0000 0.0000 x8
Br: 0.0000 0.2500 0.8750 x4

No. 10
Here is a geometry-optimized Be2TlInCl6 structure from the Alexandria database. Energies are from PBE.

The crystal system is monoclinic. The uncorrected formation energy comes out at -1.207 eV per atom. The value obtained for the calculated volume is 31.84 Å³/atom. As for the total energy: -142.82 eV per cell.

abc: 12.9887 12.1550 8.7295
angles: 90.00 112.48 90.00
Space group C2/c (No. 15)
Unique sites:
Be: 0.2327 0.1074 0.1771 x8
Tl: 0.0000 0.1357 0.7500 x4
In: 0.0000 0.4013 0.2500 x4
Cl: 0.1150 0.3859 0.6626 x8
Cl: 0.1464 0.2405 0.1153 x8
Cl: 0.1716 0.0282 0.5668 x8

No. 11
Here is a geometry-optimized Sb2OsCl structure from the Alexandria database. Energies are from PBE.

Its offset from the most stable computed form is 0.0 kJ per mole of atoms. The crystal system is monoclinic. The uncorrected formation energy comes out at -0.013 eV per atom. The value obtained for the calculated volume is 28.11 Å³/atom. As for the total energy: -42.74 eV per cell.

abc: 7.0989 4.0993 8.0761
angles: 90.00 106.92 90.00
Space group C2/m (No. 12)
Unique sites:
Sb: 0.1148 0.0000 0.3429 x4
Os: 0.0000 0.5000 0.5000 x2
Cl: 0.0000 0.0000 0.0000 x2

No. 12
Here is a geometry-optimized RbScSn structure from the Alexandria database. Energies are from PBE.

Its offset from the most stable computed form is 110.0 kJ per mole of atoms. The formation energy is 18.26 kcal/mol of atoms. The crystal system is hexagonal. The value obtained for the calculated volume is 70.92 Å³/atom. As for the total energy: -17.85 eV per cell.

abc: 6.7300 6.7300 10.8475
angles: 90.00 90.00 120.00
Space group P6_3/mmc (No. 194)
Unique sites:
Rb: 0.3333 0.6667 0.2500 x2
Sc: 0.0000 0.0000 0.2500 x2
Sn: 0.0000 0.0000 0.0000 x2

No. 13
Here is a geometry-optimized Mg3GaPb structure from the Alexandria database. Energies are from PBE.

Its offset from the most stable computed form is 0.0 kJ per mole of atoms. The formation energy is -1.10 kcal/mol of atoms. The crystal system is triclinic. The value obtained for the calculated volume is 22.91 Å³/atom. As for the total energy: -23.51 eV per cell.

abc: 4.5102 6.3972 8.4257
angles: 101.74 105.32 90.23
Space group P1 (No. 1)
Unique sites:
Mg: 0.0000 0.0000 0.0000 x1
Mg: 0.0081 0.5023 0.0148 x1
Mg: 0.3938 0.6957 0.7876 x1
Mg: 0.6130 0.3117 0.2231 x1
Mg: 0.7877 0.8771 0.5740 x1
Mg: 0.8034 0.3914 0.6042 x1
Ga: 0.2017 0.1103 0.4016 x1
Ga: 0.2073 0.5686 0.4144 x1
Pb: 0.4053 0.1997 0.8087 x1
Pb: 0.5959 0.8043 0.1904 x1

No. 14
Here is a geometry-optimized YSiNi2B structure from the Alexandria database. Energies are from PBE.

The crystal system is tetragonal. The uncorrected formation energy comes out at 2.191 eV per atom. The value obtained for the calculated volume is 24.14 Å³/atom. As for the total energy: -19.17 eV per cell.

abc: 4.7344 4.7344 5.3852
angles: 90.00 90.00 90.00
Space group P4/mmm (No. 123)
Unique sites:
Y: 0.0000 0.0000 0.0000 x1
Si: 0.0000 0.0000 0.5000 x1
Ni: 0.0000 0.5000 0.0000 x2
B: 0.5000 0.5000 0.5000 x1

No. 15
Here is a geometry-optimized Ho4Bi5Ir structure from the Alexandria database. Energies are from PBE.

The formation energy is -11.74 kcal/mol of atoms. The crystal system is monoclinic. The value obtained for the calculated volume is 30.98 Å³/atom. As for the total energy: -103.34 eV per cell.

abc: 17.8952 4.3296 8.4120
angles: 90.00 108.06 90.00
Space group C2/m (No. 12)
Unique sites:
Ho: 0.0396 0.0000 0.2257 x4
Ho: 0.1437 0.5000 0.9491 x4
Bi: 0.0000 0.5000 0.5000 x2
Bi: 0.1447 0.0000 0.6423 x4
Bi: 0.2170 0.0000 0.2354 x4
Ir: 0.0000 0.5000 0.0000 x2

No. 16
Here is a geometry-optimized Tb2Nd7Tm2 structure from the Alexandria database. Energies are from PBE.

Its offset from the most stable computed form is 0.0 kJ per mole of atoms. The formation energy is 2.23 kcal/mol of atoms. The crystal system is monoclinic. The value obtained for the calculated volume is 34.47 Å³/atom. As for the total energy: -101.03 eV per cell.

abc: 9.2038 9.5484 8.7751
angles: 90.00 100.51 90.00
Space group C2/m (No. 12)
Unique sites:
Tb: 0.1088 0.0000 0.3564 x4
Nd: 0.0000 0.5000 0.5000 x2
Nd: 0.1556 0.5000 0.9158 x4
Nd: 0.2304 0.1859 0.7075 x8
Tm: 0.0000 0.1745 0.0000 x4

No. 17
Here is a geometry-optimized Pm5TlPd4 structure from the Alexandria database. Energies are from PBE.

The formation energy is -15.72 kcal/mol of atoms. The crystal system is tetragonal. The value obtained for the calculated volume is 24.49 Å³/atom. As for the total energy: -53.71 eV per cell.

abc: 3.6370 3.6370 18.5133
angles: 90.00 90.00 90.00
Space group P4/mmm (No. 123)
Unique sites:
Pm: 0.0000 0.0000 0.0000 x1
Pm: 0.0000 0.0000 0.1919 x2
Pm: 0.0000 0.0000 0.3827 x2
Tl: 0.5000 0.5000 0.5000 x1
Pd: 0.5000 0.5000 0.0954 x2
Pd: 0.5000 0.5000 0.2872 x2

No. 18
Here is a geometry-optimized MgMoRh3 structure from the Alexandria database. Energies are from PBE.

The formation energy is 16.94 kcal/mol of atoms. The crystal system is cubic. The value obtained for the calculated volume is 20.62 Å³/atom. As for the total energy: -30.81 eV per cell.

abc: 4.6889 4.6889 4.6889
angles: 90.00 90.00 90.00
Space group Pm-3m (No. 221)
Unique sites:
Mg: 0.0000 0.0000 0.0000 x1
Mo: 0.5000 0.5000 0.5000 x1
Rh: 0.0000 0.5000 0.5000 x3